1.
Computed, not measured: an optimized crystal structure of NpInSb at the PBE level of DFT.

a = 4.447 Å, b = 4.337 Å, c = 8.393 Å
α = 104.97°, β = 90.00°, γ = 90.00°
Last column: magnetic moment on the atom in μB.
Atoms (fractional coordinates):
In  0.250  0.749  0.498  0.03
Sb  0.250  0.421  0.841  -0.08
Np  0.750  0.919  0.837  4.01
In  0.750  0.251  0.502  0.03
Np  0.250  0.081  0.163  4.01
Sb  0.750  0.579  0.159  -0.08

Summary:
* N(E_F): 17.5 states/eV/cell
* ρ: 10.06 g/cm³
* SG: Cmcm
* calculated volume: 78.2 Å³/f.u.
* distance to the lowest polymorph of the same formula: 19 meV/atom
* formation energy from raw total energies: -0.1066 eV per atom



2.
Computed, not measured: an optimized crystal structure of TlIn2ClF2 at the PBE level of DFT.

a = 6.585 Å, b = 7.122 Å, c = 9.529 Å
α = 128.13°, β = 90.00°, γ = 90.00°
Atoms (fractional coordinates):
In  0.994  0.200  0.245
Tl  0.250  0.641  0.235
In  0.494  0.800  0.755
In  0.506  0.200  0.245
F  0.250  0.612  0.515
F  0.250  0.074  0.336
F  0.750  0.388  0.485
Cl  0.250  0.195  0.823
Cl  0.750  0.805  0.177
Tl  0.750  0.359  0.765
F  0.750  0.926  0.664
In  0.006  0.800  0.755

Summary:
* ρ: 4.79 g/cm³
* SG: P2_1/m
* calculated volume: 175.8 Å³/f.u.
* formation energy from raw total energies: -1.3737 eV per atom